Entry 1:
Density functional theory data (PBE-GGA) for an optimized crystal structure of La6NdIn2.

Output
energy of formation	-224	meV per atom
space group	No. 12

```
9
Lattice="7.8914 -2.4048 0.0000 7.8914 2.4048 0.0000 -2.8322 0.0000 7.8419" Properties=species:S:1:pos:R:3 pbc="T T T"
La 1.1306 0.0000 1.1381
La 1.1289 0.0000 6.6195
La 3.7904 0.0000 4.0022
La 9.1602 0.0000 3.8397
La 11.8217 0.0000 1.2224
La 11.8200 0.0000 6.7038
Nd -1.4161 0.0000 3.9210
In 6.4525 0.0000 1.4283
In 6.4980 0.0000 6.4136
```

***

Entry 2:
Density functional theory data (PBE-GGA) for an optimized crystal structure of Mg2TiAsPb.

Output
energy of formation	493	meV per atom
space group	No. 123

```
5
Lattice="4.8405 0.0000 0.0000 0.0000 4.8405 0.0000 0.0000 0.0000 6.0552" Properties=species:S:1:pos:R:3 pbc="T T T"
Mg 0.0000 2.4202 0.0000
Mg 2.4202 0.0000 0.0000
Ti 0.0000 0.0000 3.0276
As 2.4202 2.4202 0.0000
Pb 2.4202 2.4202 3.0276
```

***

Entry 3:
Density functional theory data (PBE-GGA) for an optimized crystal structure of KCaSb2.

Output
space group	No. 44
energy relative to the elements, uncorrected	-0.52	eV per atom

```
4
Lattice="-2.0363 2.5011 7.2684 2.0363 -2.5011 7.2684 2.0363 2.5011 -7.2684" Properties=species:S:1:pos:R:3 pbc="T T T"
K 0.0000 0.0000 0.0000
Ca 0.0000 2.5011 3.5890
Sb 2.0363 0.0000 3.2205
Sb 0.0000 0.0000 5.5511
```

***

Entry 4:
Density functional theory data (PBE-GGA) for an optimized crystal structure of La4AlAsI2.

Output
space group	No. 10
energy relative to the elements, uncorrected	-1.02	eV per atom

```
8
Lattice="7.7520 0.0000 0.0000 0.0000 4.4621 0.0000 -2.5991 0.0000 7.7594" Properties=species:S:1:pos:R:3 pbc="T T T"
La 1.2620 0.0000 1.5990
La -0.0486 2.2311 6.1058
La 5.2015 2.2311 1.6536
La 3.8909 0.0000 6.1605
Al 3.8760 0.0000 0.0000
As 0.0000 2.2311 0.0000
I -1.2996 0.0000 3.8797
I 2.5765 2.2311 3.8797
```